Density functional theory data (GGA-PBE) for a relaxed KLiTlBi crystal.

Output
Formation energy   -1.31 eV per formula unit
Energy above the most stable polymorph in this dataset   0.000 eV per atom
Density   5.521 Mg/m³
Uncorrected energy   -2.64 eV per atom
Spin magnetization   0.00 μB/cell

CIF file:
```
data_KLiTlBi
_chemical_formula_sum 'K1 Li1 Tl1 Bi1'
_cell_length_a 4.9113
_cell_length_b 4.9097
_cell_length_c 7.1985
_cell_angle_alpha 109.92
_cell_angle_beta 90.00
_cell_angle_gamma 120.01
_space_group_name_H-M_alt 'P 1'
_space_group_IT_number 1
_space_group_name_Hall 'P 1'
loop_
_atom_site_label
_atom_site_type_symbol
_atom_site_fract_x
_atom_site_fract_y
_atom_site_fract_z
_atom_site_occupancy
K1 K 0.6250 0.2500 0.5171 1
Li1 Li 0.4238 0.8475 0.9133 1
Tl1 Tl 0.8365 0.6729 0.1516 1
Bi1 Bi 0.0811 0.1622 0.8854 1
```